No. 1
Computed, not measured: an optimized crystal structure of Fe2Ni9Rh at the PBE level of DFT.

Cell lengths 3.570, 3.570, 10.731 Å; angles 90.00, 90.00, 90.00 degrees
Fractional coordinates of all 12 atoms:
Fe 0.000 0.000 0.164
Fe 0.000 0.000 0.836
Ni 0.000 0.500 0.000
Ni 0.000 0.500 0.327
Ni 0.000 0.500 0.673
Ni 0.500 0.000 0.000
Ni 0.500 0.000 0.327
Ni 0.500 0.000 0.673
Ni 0.500 0.500 0.164
Ni 0.500 0.500 0.500
Ni 0.500 0.500 0.836
Rh 0.000 0.000 0.500

Computed properties:
- E_tot (eV/f.u.) = -76.762
- energy relative to the elements (kJ/mol of atoms) = -4
- SG = P4/mmm (123)


No. 2
Computed, not measured: an optimized crystal structure of BaSe2SN at the PBE level of DFT.

Cell lengths 6.412, 6.412, 4.939 Å; angles 90.00, 90.00, 90.00 degrees
Fractional coordinates of all 5 atoms:
Ba 0.000 0.000 0.000
Se 0.000 0.500 0.000
Se 0.500 0.000 0.000
S 0.500 0.500 0.500
N 0.000 0.000 0.500

Computed properties:
- E_tot (eV/f.u.) = -14.880
- SG = P4/mmm (123)


No. 3
Computed, not measured: an optimized crystal structure of HfV3Re at the PBE level of DFT.

Cell lengths 4.488, 4.488, 4.488 Å; angles 90.00, 90.00, 90.00 degrees
Fractional coordinates of all 5 atoms:
Hf 0.000 0.000 0.000
V 0.000 0.000 0.500
V 0.000 0.500 0.000
V 0.500 0.000 0.000
Re 0.500 0.500 0.500

Computed properties:
- E_tot (eV/f.u.) = -39.642
- energy relative to the elements (kJ/mol of atoms) = 195
- SG = Pm-3m (221)


No. 4
Computed, not measured: an optimized crystal structure of Tl2CuHgSb at the PBE level of DFT.

Cell lengths 5.477, 5.477, 4.970 Å; angles 90.00, 90.00, 90.00 degrees
Fractional coordinates of all 5 atoms:
Tl 0.000 0.500 0.000
Tl 0.500 0.000 0.000
Cu 0.000 0.000 0.000
Hg 0.500 0.500 0.500
Sb 0.000 0.000 0.500

Computed properties:
- E_tot (eV/f.u.) = -12.433
- SG = P4/mmm (123)